Material: Ni5SbTe2
Method: DFT, PBE
State: relaxed

```
8
Lattice="3.746 0.000 -0.760 -0.154 3.743 -0.760 0.075 0.078 9.980" Properties=species:S:1:pos:R:3 pbc="T T T"
Ni 3.398 1.589 7.134
Ni 2.219 0.361 1.326
Ni 0.000 0.000 0.000
Ni 0.269 2.232 1.326
Ni 1.448 3.460 7.134
Te 3.004 3.130 5.194
Te 0.663 0.691 3.267
Sb 1.796 1.871 -0.760
```

Summary:
* energy relative to the elements, uncorrected: -0.21 eV/atom



Material: CdSbBr2
Method: DFT, PBE
State: relaxed

```
4
Lattice="3.625 0.000 0.000 0.000 6.351 0.000 0.000 0.000 4.779" Properties=species:S:1:pos:R:3 pbc="T T T"
Br 0.000 0.000 0.000
Br 1.813 3.175 0.000
Sb 0.000 3.175 2.389
Cd 1.813 0.000 2.389
```

Summary:
* energy relative to the elements, uncorrected: -0.09 eV/atom



Material: Ce2GdIn
Method: DFT, PBE
State: relaxed

```
4
Lattice="-0.126 -2.044 -5.106 0.792 -5.380 -0.829 -4.196 -3.186 -1.584" Properties=species:S:1:pos:R:3 pbc="T T T"
Ce -0.883 -2.653 -1.880
Ce -2.648 -7.958 -5.639
Gd 0.000 0.000 0.000
In -1.765 -5.305 -3.760
```

Summary:
* energy of formation: -63.8 meV per atom



no.,density of states at the Fermi level (states/eV/atom)
1,0.778
2,0.451
3,3.358